No. 1
This record from Alexandria describes crystalline SrGaRh2N at its relaxed geometry. The functional is PBE.

Summary:
The uncorrected formation energy is 5.7 eV/f.u.

a = 4.5283 Å, b = 4.5283 Å, c = 6.0497 Å
α = 90.00°, β = 90.00°, γ = 90.00°
With the nearest neighbours (Å) after each atom.
Space group P4/mmm (No. 123)
Symmetry-distinct sites (fractional):
Sr  0.0000  0.0000  0.0000 (multiplicity 1)  2 Ga 3.02, 4 N 3.20
Ga  0.0000  0.0000  0.5000 (multiplicity 1)  4 Rh 2.26
Rh  0.0000  0.5000  0.5000 (multiplicity 2)  2 Ga 2.26
N  0.5000  0.5000  0.0000 (multiplicity 1)  4 Sr 3.20

***

No. 2
This record from Alexandria describes crystalline Sr2ZrTlF at its relaxed geometry. The functional is PBE.

Summary:
The uncorrected formation energy is -2.0 eV/f.u.

a = 6.7040 Å, b = 6.7040 Å, c = 4.1753 Å
α = 90.00°, β = 90.00°, γ = 90.00°
With the nearest neighbours (Å) after each atom.
Space group P4/mmm (No. 123)
Symmetry-distinct sites (fractional):
Sr  0.0000  0.5000  0.0000 (multiplicity 2)  2 Zr 3.35
Zr  0.0000  0.0000  0.0000 (multiplicity 1)  2 F 2.09
Tl  0.5000  0.5000  0.5000 (multiplicity 1)  8 Sr 3.95, 2 Tl 4.18
F  0.0000  0.0000  0.5000 (multiplicity 1)  2 Zr 2.09

***

No. 3
This record from Alexandria describes crystalline Mg2TcCl at its relaxed geometry. The functional is PBE.

Summary:
The value obtained for the offset from the most stable computed form is 33.7 kJ/mol of atoms. The uncorrected formation energy is 0.3 eV/f.u.

a = 5.0032 Å, b = 5.0032 Å, c = 2.9810 Å
α = 90.00°, β = 90.00°, γ = 90.00°
With the nearest neighbours (Å) after each atom.
Space group P4/mmm (No. 123)
Symmetry-distinct sites (fractional):
Mg  0.0000  0.5000  0.0000 (multiplicity 2)  4 Cl 2.91, 4 Tc 2.91, 2 Mg 2.98
Tc  0.0000  0.0000  0.5000 (multiplicity 1)  8 Mg 2.91, 2 Tc 2.98
Cl  0.5000  0.5000  0.5000 (multiplicity 1)  8 Mg 2.91, 2 Cl 2.98

***

No. 4
This record from Alexandria describes crystalline TmUFe at its relaxed geometry. The functional is PBE.

Summary:
The value obtained for the offset from the most stable computed form is 19.3 kJ/mol of atoms. The value obtained for the formation energy is 0.1519 eV/atom.

a = 3.4584 Å, b = 3.4584 Å, c = 6.0873 Å
α = 90.00°, β = 90.00°, γ = 120.00°
With the nearest neighbours (Å) after each atom.
Space group P3m1 (No. 156)
Symmetry-distinct sites (fractional):
Tm  0.0000  0.0000  0.0000 (multiplicity 1)  3 Fe 2.87
U  0.6667  0.3333  0.4459 (multiplicity 1)  3 Fe 2.39
Fe  0.3333  0.6667  0.6617 (multiplicity 1)  3 U 2.39

***

No. 5
This record from Alexandria describes crystalline TaFe2Ag at its relaxed geometry. The functional is PBE.

Summary:
The value obtained for the offset from the most stable computed form is 12.8 kJ/mol of atoms. The value obtained for the formation energy is 0.3300 eV/atom.

a = 2.8267 Å, b = 2.8267 Å, c = 26.4284 Å
α = 90.00°, β = 90.00°, γ = 120.00°
With the nearest neighbours (Å) after each atom.
Space group R3m (No. 160, hexagonal axes)
Symmetry-distinct sites (fractional):
Ta  0.0000  0.0000  0.0000 (multiplicity 3)  3 Fe 2.73, 6 Ta 2.83, 3 Ag 3.02
Fe  0.0000  0.0000  0.2503 (multiplicity 3)  3 Fe 2.43
Fe  0.0000  0.0000  0.5154 (multiplicity 3)  3 Fe 2.43
Ag  0.0000  0.0000  0.7628 (multiplicity 3)  3 Fe 2.80, 6 Ag 2.83, 3 Ta 3.02

***

No. 6
This record from Alexandria describes crystalline Zr4Ir at its relaxed geometry. The functional is PBE.

Summary:
The value obtained for the offset from the most stable computed form is 10.5 kJ/mol of atoms. The value obtained for the formation energy is -0.2588 eV/atom.

a = 6.0813 Å, b = 6.0935 Å, c = 7.1024 Å
α = 82.70°, β = 67.77°, γ = 63.72°
With the nearest neighbours (Å) after each atom.
Space group P1 (No. 1)
Symmetry-distinct sites (fractional):
Zr  0.0000  0.0000  0.0000 (multiplicity 1)  1 Ir 2.71, 1 Zr 2.92
Zr  0.0023  0.7152  0.3994 (multiplicity 1)  2 Ir 2.69-2.96
Zr  0.0634  0.1946  0.3222 (multiplicity 1)  2 Ir 2.65-2.84, 1 Zr 2.92
Zr  0.1019  0.4943  0.8291 (multiplicity 1)  2 Ir 2.85-2.93, 5 Zr 3.06-3.18
Zr  0.5081  0.1877  0.4348 (multiplicity 1)  2 Ir 2.78-2.85, 4 Zr 3.06-3.08
Zr  0.6039  0.6620  0.2135 (multiplicity 1)  2 Ir 2.75-2.90, 1 Zr 3.06
Zr  0.6111  0.9993  0.8287 (multiplicity 1)  1 Ir 2.72
Zr  0.6420  0.5098  0.7095 (multiplicity 1)  2 Ir 2.65-2.78
Ir  0.2666  0.8634  0.5989 (multiplicity 1)  7 Zr 2.65-2.96
Ir  0.3854  0.3890  0.0942 (multiplicity 1)  7 Zr 2.65-2.90

***

No. 7
This record from Alexandria describes crystalline CdSbTe2 at its relaxed geometry. The functional is PBE.

Summary:
The value obtained for the offset from the most stable computed form is 21.2 kJ/mol of atoms. The uncorrected formation energy is 0.2 eV/f.u.

a = 4.4316 Å, b = 4.4316 Å, c = 27.8255 Å
α = 90.00°, β = 90.00°, γ = 120.00°
With the nearest neighbours (Å) after each atom.
Space group R-3m (No. 166, hexagonal axes)
Symmetry-distinct sites (fractional):
Cd  0.0000  0.0000  0.0000 (multiplicity 3)  2 Te 2.87
Sb  0.0000  0.0000  0.5000 (multiplicity 3)  6 Te 3.11
Te  0.0000  0.0000  0.1031 (multiplicity 6)  1 Cd 2.87, 3 Sb 3.11

***

No. 8
This record from Alexandria describes crystalline CoTcSe2 at its relaxed geometry. The functional is PBE.

Summary:
The value obtained for the offset from the most stable computed form is 28.5 kJ/mol of atoms. The uncorrected formation energy is 0.1 eV/f.u.

a = 3.1133 Å, b = 3.1133 Å, c = 27.4495 Å
α = 90.00°, β = 90.00°, γ = 120.00°
With the nearest neighbours (Å) after each atom.
Space group R3m (No. 160, hexagonal axes)
Symmetry-distinct sites (fractional):
Co  0.0000  0.0000  0.0000 (multiplicity 3)  3 Se 2.25
Tc  0.0000  0.0000  0.7481 (multiplicity 3)  3 Se 2.44
Se  0.0000  0.0000  0.2841 (multiplicity 3)  3 Co 2.25
Se  0.0000  0.0000  0.4747 (multiplicity 3)  3 Tc 2.44

***

Number 1: total DFT energy (no corrections) -4.40 eV/atom, V 124.05 Å³/cell. Number 2: total DFT energy (no corrections) -3.63 eV/atom, V 187.66 Å³/cell. Number 3: total DFT energy (no corrections) -3.76 eV/atom, V 74.62 Å³/cell. Number 4: total DFT energy (no corrections) -7.92 eV/atom, V 63.05 Å³/cell. Number 5: total DFT energy (no corrections) -7.58 eV/atom, V 182.88 Å³/cell. Number 6: total DFT energy (no corrections) -8.87 eV/atom, V 218.20 Å³/cell. Number 7: total DFT energy (no corrections) -2.77 eV/atom, V 473.25 Å³/cell. Number 8: total DFT energy (no corrections) -6.09 eV/atom, V 230.41 Å³/cell.